# Mn2PtW | the Alexandria database | GGA-PBE | optimized geometry
data_Mn2PtW
_chemical_formula_sum 'Mn4 Pt2 W2'
_cell_length_a 3.7560
_cell_length_b 3.7560
_cell_length_c 7.7897
_cell_angle_alpha 90.00
_cell_angle_beta 90.00
_cell_angle_gamma 90.00
_symmetry_space_group_name_H-M 'I -4 m 2'
_symmetry_Int_Tables_number 119
_symmetry_space_group_name_Hall 'I -4 -2'
loop_
_atom_site_label
_atom_site_type_symbol
_atom_site_fract_x
_atom_site_fract_y
_atom_site_fract_z
_atom_site_occupancy
Mn1 Mn 0.0000 0.0000 0.0000 1
Mn2 Mn 0.0000 0.5000 0.2500 1
Pt1 Pt 0.0000 0.5000 0.7500 1
W1 W 0.0000 0.0000 0.5000 1
# * density: 14.77 g cm⁻³
# * energy of formation: -33 kJ/mol of formula units
# * magnetic moment: 0.5 μB/cell

# Mn2Pt2W | the Alexandria database | GGA-PBE | optimized geometry
data_Mn2Pt2W
_chemical_formula_sum 'Mn4 Pt4 W2'
_cell_length_a 7.2700
_cell_length_b 7.2700
_cell_length_c 2.6791
_cell_angle_alpha 90.00
_cell_angle_beta 90.00
_cell_angle_gamma 90.00
_symmetry_space_group_name_H-M 'P 4/m b m'
_symmetry_Int_Tables_number 127
_symmetry_space_group_name_Hall '-P 4 2ab'
loop_
_atom_site_label
_atom_site_type_symbol
_atom_site_fract_x
_atom_site_fract_y
_atom_site_fract_z
_atom_site_occupancy
Mn1 Mn 0.1703 0.3297 0.0000 1
Pt1 Pt 0.1288 0.6288 0.5000 1
W1 W 0.0000 0.0000 0.5000 1
# * density: 16.04 g cm⁻³
# * energy of formation: 97 kJ/mol of formula units
# * magnetic moment: 0.0 μB/cell

# Mn2PtW | the Alexandria database | GGA-PBE | optimized geometry
data_Mn2PtW
_chemical_formula_sum 'Mn4 Pt2 W2'
_cell_length_a 8.7368
_cell_length_b 2.7365
_cell_length_c 4.9262
_cell_angle_alpha 90.00
_cell_angle_beta 99.41
_cell_angle_gamma 90.00
_symmetry_space_group_name_H-M 'C 1 2/m 1'
_symmetry_Int_Tables_number 12
_symmetry_space_group_name_Hall '-C 2y'
loop_
_atom_site_label
_atom_site_type_symbol
_atom_site_fract_x
_atom_site_fract_y
_atom_site_fract_z
_atom_site_occupancy
Mn1 Mn 0.2481 0.0000 0.2562 1
Pt1 Pt 0.0000 0.5000 0.0000 1
W1 W 0.0000 0.0000 0.5000 1
# * density: 13.97 g cm⁻³
# * energy of formation: 12 kJ/mol of formula units
# * magnetic moment: 11.2 μB/cell

# Mn2PtW | the Alexandria database | GGA-PBE | optimized geometry
data_Mn2PtW
_chemical_formula_sum 'Mn2 Pt1 W1'
_cell_length_a 3.1132
_cell_length_b 3.1132
_cell_length_c 5.8663
_cell_angle_alpha 90.00
_cell_angle_beta 90.00
_cell_angle_gamma 90.00
_symmetry_space_group_name_H-M 'P 4 m m'
_symmetry_Int_Tables_number 99
_symmetry_space_group_name_Hall 'P 4 -2'
loop_
_atom_site_label
_atom_site_type_symbol
_atom_site_fract_x
_atom_site_fract_y
_atom_site_fract_z
_atom_site_occupancy
Mn1 Mn 0.0000 0.0000 0.0000 1
Mn2 Mn 0.5000 0.5000 0.2378 1
Pt1 Pt 0.0000 0.0000 0.4933 1
W1 W 0.5000 0.5000 0.7831 1
# * density: 14.28 g cm⁻³
# * energy of formation: 9 kJ/mol of formula units
# * magnetic moment: 4.3 μB/cell

# MnPtW2 | the Alexandria database | GGA-PBE | optimized geometry
data_MnPtW2
_chemical_formula_sum 'Mn1 Pt1 W2'
_cell_length_a 3.2830
_cell_length_b 3.2830
_cell_length_c 5.5588
_cell_angle_alpha 90.00
_cell_angle_beta 90.00
_cell_angle_gamma 90.00
_symmetry_space_group_name_H-M 'P 4/m m m'
_symmetry_Int_Tables_number 123
_symmetry_space_group_name_Hall '-P 4 2'
loop_
_atom_site_label
_atom_site_type_symbol
_atom_site_fract_x
_atom_site_fract_y
_atom_site_fract_z
_atom_site_occupancy
Mn1 Mn 0.0000 0.0000 0.0000 1
Pt1 Pt 0.0000 0.0000 0.5000 1
W1 W 0.5000 0.5000 0.2284 1
# * density: 17.12 g cm⁻³
# * energy of formation: 57 kJ/mol of formula units
# * magnetic moment: 0.8 μB/cell

# Mn2Pt2W | the Alexandria database | GGA-PBE | optimized geometry
data_Mn2Pt2W
_chemical_formula_sum 'Mn4 Pt4 W2'
_cell_length_a 6.3940
_cell_length_b 6.3940
_cell_length_c 3.5347
_cell_angle_alpha 90.00
_cell_angle_beta 90.00
_cell_angle_gamma 90.00
_symmetry_space_group_name_H-M 'P 4/m b m'
_symmetry_Int_Tables_number 127
_symmetry_space_group_name_Hall '-P 4 2ab'
loop_
_atom_site_label
_atom_site_type_symbol
_atom_site_fract_x
_atom_site_fract_y
_atom_site_fract_z
_atom_site_occupancy
Mn1 Mn 0.1284 0.3716 0.0000 1
Pt1 Pt 0.1677 0.6677 0.5000 1
W1 W 0.0000 0.0000 0.0000 1
# * density: 15.72 g cm⁻³
# * energy of formation: 65 kJ/mol of formula units
# * magnetic moment: 6.3 μB/cell